[1]
A geometry-optimized Mg2NiH4 structure. Source: the Alexandria database, functional PBE.

```
Mg2NiH4
1.0
-2.262 2.283 3.192
2.262 -2.283 3.192
2.262 2.283 -3.192
Mg Ni H
2 1 4
Cartesian
0.000 2.253 1.608 Mg
2.262 -0.030 1.584 Mg
0.000 4.396 0.000 Ni
1.093 1.090 3.192 H
0.000 0.240 1.470 H
0.000 0.240 4.914 H
1.168 3.374 0.000 H
```

Calculated values
offset from the most stable computed form: 38 meV per atom
space-group type: No. 44
calculated volume: 9.42 A^3/atom

[2]
A geometry-optimized MgNi2H structure. Source: the Alexandria database, functional PBE.

```
MgNi2H
1.0
1.209 -3.782 0.082
0.669 -1.796 3.479
-2.463 -2.845 1.272
Ni Mg H
2 1 1
Cartesian
-0.146 -2.106 1.208 Ni
-0.439 -6.317 3.625 Ni
-0.293 -4.211 2.416 Mg
0.000 0.000 0.000 H
```

Calculated values
offset from the most stable computed form: 667 meV per atom
space-group type: No. 225
calculated volume: 11.07 A^3/atom

[3]
A geometry-optimized MgNi2H3 structure. Source: the Alexandria database, functional PBE.

```
MgNi2H3
1.0
4.890 0.000 0.000
0.000 4.622 0.761
0.000 -0.437 4.664
H Ni Mg
6 4 2
Cartesian
1.222 3.258 3.365 H
1.222 4.404 0.929 H
3.667 2.428 4.005 H
3.667 -0.219 4.496 H
1.222 1.757 1.420 H
3.667 0.927 2.060 H
0.000 3.404 4.413 Ni
2.445 3.404 4.413 Ni
2.445 0.781 1.012 Ni
0.000 0.781 1.012 Ni
1.222 1.194 3.406 Mg
3.667 2.991 2.019 Mg
```

Calculated values
space-group type: No. 63
calculated volume: 8.92 A^3/atom
calculated total energy: -3.974 eV/atom

[4]
A geometry-optimized Mg2NiH4 structure. Source: the Alexandria database, functional PBE.

```
Mg2NiH4
1.0
-4.074 0.952 -6.625
-7.659 -0.539 -1.563
-2.752 5.842 -0.228
Mg H Ni
8 16 4
Cartesian
-3.037 0.551 -1.888 Mg
-6.218 5.300 -6.683 Mg
-11.448 5.703 -6.528 Mg
-4.323 3.509 -2.129 Mg
-8.016 4.552 -4.144 Mg
-6.469 1.702 -4.272 Mg
-8.266 0.955 -1.734 Mg
-10.161 2.745 -6.287 Mg
-7.180 1.266 -6.183 H
-7.828 6.071 -5.455 H
-6.656 0.184 -2.962 H
-2.676 2.514 -1.052 H
-4.944 1.603 -1.460 H
-10.524 0.781 -7.121 H
-4.617 2.613 -3.971 H
-6.518 3.734 -5.214 H
-7.967 2.520 -3.202 H
-11.808 3.740 -7.364 H
-7.305 4.988 -2.233 H
-9.564 1.149 -4.866 H
-9.868 3.642 -4.445 H
-9.541 4.651 -6.956 H
-4.921 5.106 -3.550 H
-3.960 5.473 -1.296 H
-5.650 0.228 -1.767 Ni
-5.093 3.953 -4.611 Ni
-8.834 6.026 -6.649 Ni
-9.391 2.302 -3.806 Ni
```

Calculated values
offset from the most stable computed form: 0 meV per atom
space-group type: No. 15
calculated volume: 9.68 A^3/atom

[5]
A geometry-optimized Mg3NiH6 structure. Source: the Alexandria database, functional PBE.

```
Mg3NiH6
1.0
4.498 0.000 0.000
0.000 6.438 -0.049
0.000 -1.484 6.265
Mg H Ni
6 12 2
Cartesian
2.113 4.873 4.300 Mg
2.113 1.849 0.507 Mg
1.987 1.603 3.805 Mg
4.236 3.351 2.412 Mg
4.363 0.081 1.916 Mg
4.363 3.105 5.709 Mg
3.162 1.594 2.215 H
3.072 5.074 2.585 H
0.685 -1.037 5.908 H
0.823 -0.121 3.631 H
0.913 3.360 4.001 H
3.072 3.566 0.693 H
0.750 4.746 1.300 H
2.934 5.991 0.308 H
0.913 1.803 2.048 H
3.162 3.151 4.168 H
0.823 1.388 5.523 H
2.999 0.208 4.916 H
2.309 4.860 1.209 Ni
0.059 0.093 5.007 Ni
```

Calculated values
space-group type: No. 36
calculated volume: 9.05 A^3/atom
calculated total energy: -3.240 eV/atom

[6]
A geometry-optimized MgNi5H6 structure. Source: the Alexandria database, functional PBE.

```
MgNi5H6
1.0
4.572 -0.048 -0.922
-2.451 3.860 -0.922
0.038 0.068 4.705
H Ni Mg
6 5 1
Cartesian
1.567 2.815 0.038 H
-0.710 1.890 0.616 H
2.869 1.990 2.246 H
0.592 1.064 2.823 H
0.179 3.487 2.246 H
1.980 0.393 0.616 H
2.242 1.248 -0.922 Ni
1.080 1.940 1.431 Ni
-1.289 3.258 1.431 Ni
-0.121 2.563 -0.922 Ni
3.448 0.622 1.431 Ni
0.000 0.000 0.000 Mg
```

Calculated values
space-group type: No. 12
calculated volume: 6.92 A^3/atom
calculated total energy: -4.318 eV/atom

[7]
A geometry-optimized Mg2NiH4 structure. Source: the Alexandria database, functional PBE.

```
Mg2NiH4
1.0
2.932 0.000 0.000
0.000 4.982 -0.327
-1.466 -2.715 4.436
Ni H Mg
1 4 2
Cartesian
0.000 0.000 0.000 Ni
0.000 3.478 0.759 H
0.000 1.879 3.199 H
1.466 0.388 0.909 H
1.466 -1.211 3.350 H
1.466 2.313 1.427 Mg
0.000 -0.046 2.682 Mg
```

Calculated values
offset from the most stable computed form: 260 meV per atom
space-group type: No. 12
calculated volume: 8.88 A^3/atom

[8]
A geometry-optimized MgNi6H3 structure. Source: the Alexandria database, functional PBE.

```
MgNi6H3
1.0
-1.034 -1.751 -4.667
4.128 -1.658 2.488
-2.969 -1.405 3.975
Ni H Mg
6 3 1
Cartesian
-0.797 -2.321 2.411 Ni
2.396 -3.346 -0.518 Ni
0.638 -1.665 0.247 Ni
2.594 -2.252 1.781 Ni
-1.377 -3.133 0.079 Ni
1.261 -3.087 3.727 Ni
-0.999 -1.377 0.744 H
-2.161 -2.944 1.583 H
-0.505 -3.022 4.042 H
0.732 -3.983 1.349 Mg
```

Calculated values
space-group type: No. 1
calculated volume: 9.49 A^3/atom
calculated total energy: -4.558 eV/atom

[9]
A geometry-optimized Mg2Ni2H7 structure. Source: the Alexandria database, functional PBE.

```
Mg2Ni2H7
1.0
-1.460 3.532 -1.759
-4.352 -1.429 2.152
3.275 2.222 3.154
H Ni Mg
7 2 2
Cartesian
0.244 2.046 3.800 H
-1.754 3.257 1.483 H
0.000 0.000 0.000 H
-0.016 3.602 0.109 H
-0.782 1.068 2.063 H
-2.780 2.278 -0.254 H
-2.520 0.723 3.437 H
-1.493 3.156 -0.140 Ni
-1.044 1.169 3.686 Ni
-2.738 1.459 1.580 Mg
0.202 2.866 1.966 Mg
```

Calculated values
space-group type: No. 12
calculated volume: 8.70 A^3/atom
calculated total energy: -3.521 eV/atom

[10]
A geometry-optimized Mg2Ni3H8 structure. Source: the Alexandria database, functional PBE.

```
Mg2Ni3H8
1.0
4.612 0.000 0.324
0.000 5.078 0.000
-1.529 -2.539 4.152
H Mg Ni
8 2 3
Cartesian
-0.646 2.539 3.342 H
3.319 0.000 3.458 H
1.657 1.386 3.509 H
-0.236 2.539 1.019 H
1.657 -1.386 3.509 H
3.730 0.000 1.135 H
1.427 3.925 0.968 H
1.427 1.153 0.968 H
0.524 0.000 2.505 Mg
2.560 2.539 1.972 Mg
0.000 3.804 0.000 Ni
0.000 1.274 0.000 Ni
2.306 0.000 0.162 Ni
```

Calculated values
space-group type: No. 12
calculated volume: 7.67 A^3/atom
calculated total energy: -3.762 eV/atom

[11]
A geometry-optimized MgNi5H4 structure. Source: the Alexandria database, functional PBE.

```
MgNi5H4
1.0
-2.852 -0.952 3.028
3.718 0.325 3.604
-1.485 7.241 0.879
Ni H Mg
10 8 2
Cartesian
1.823 1.248 3.595 Ni
-0.998 5.847 2.384 Ni
-0.338 -0.571 4.134 Ni
-0.022 1.087 1.806 Ni
0.160 1.907 5.279 Ni
-1.398 3.402 1.135 Ni
-1.713 1.743 3.464 Ni
0.847 6.008 4.173 Ni
-0.349 4.388 5.580 Ni
-2.222 4.225 3.765 Ni
1.261 -0.222 3.955 H
-2.028 4.938 5.383 H
-1.501 3.183 2.764 H
-1.191 5.133 0.767 H
0.722 3.377 4.919 H
-0.234 -0.352 2.506 H
-0.553 2.021 0.389 H
-1.182 0.809 4.881 H
0.455 3.562 2.945 Mg
-2.190 -0.731 2.325 Mg
```

Calculated values
space-group type: No. 59
calculated volume: 8.24 A^3/atom
calculated total energy: -4.447 eV/atom

[12]
A geometry-optimized MgNiH4 structure. Source: the Alexandria database, functional PBE.

```
MgNiH4
1.0
3.508 0.000 0.000
-1.754 4.488 -0.372
0.000 -1.789 6.708
H Ni Mg
8 2 2
Cartesian
1.754 -0.363 4.572 H
0.000 3.063 1.764 H
0.000 -0.044 2.926 H
0.000 -0.921 5.976 H
0.000 1.240 4.628 H
1.754 1.460 1.708 H
1.754 2.743 3.410 H
1.754 3.620 0.360 H
1.754 3.027 1.803 Ni
0.000 -0.328 4.533 Ni
0.000 1.097 1.201 Mg
1.754 1.602 5.135 Mg
```

Calculated values
offset from the most stable computed form: 0 meV per atom
space-group type: No. 12
calculated volume: 8.61 A^3/atom